(1)
A plane-wave DFT calculation with GGA-PBE was carried out for a relaxed structure of K2ZrSnTe4. Values from VASP.

Structure (Quantum ESPRESSO input):
```
&SYSTEM
  ibrav = 0, nat = 8, ntyp = 4
/
ATOMIC_SPECIES
Te 127.60 Te.upf
Zr 91.22 Zr.upf
K 39.10 K.upf
Sn 118.71 Sn.upf
ATOMIC_POSITIONS angstrom
Te 2.1960 3.7389 6.5901
Zr 2.1960 3.9350 0.1254
K 0.0000 2.6071 4.1457
Te 0.0000 5.1242 1.7713
Te 2.1960 1.4754 1.7012
Sn 0.0000 0.0000 0.0000
K 2.1960 -1.3279 4.0203
Te 0.0000 0.0901 6.5200
CELL_PARAMETERS angstrom
4.3919 0.0000 0.0000
0.0000 7.8700 0.2508
0.0000 -2.6558 8.0405
```

Output
Magnetic moment = 0.00 μB per formula unit
Total DFT energy (no corrections) = -34.03 eV for the cell shown
Uncorrected formation energy = -0.840 eV per atom



(2)
A plane-wave DFT calculation with GGA-PBE was carried out for a relaxed structure of K3ZrSn2Te6. Values from VASP.

Structure (Quantum ESPRESSO input):
```
&SYSTEM
  ibrav = 0, nat = 12, ntyp = 4
/
ATOMIC_SPECIES
Te 127.60 Te.upf
Sn 118.71 Sn.upf
K 39.10 K.upf
Zr 91.22 Zr.upf
ATOMIC_POSITIONS angstrom
Te 2.1063 -1.9141 -0.7523
Sn 0.5020 -1.1484 4.3009
K 3.9186 2.1896 4.7472
Te 1.5655 0.9951 2.2858
Te 2.6812 -3.2875 3.6252
Zr 0.0000 0.0000 0.0000
K 4.4800 -0.8308 1.5929
K 5.0414 -3.8513 -1.5614
Te 7.3945 -2.6568 0.9000
Te 6.8538 0.2525 3.9382
Sn 1.0704 -4.2068 1.1069
Te 6.2789 1.6258 -0.4393
CELL_PARAMETERS angstrom
-0.0721 1.9403 7.5264
1.6445 -7.2954 -2.1185
7.3877 3.6935 -2.2220
```

Output
Magnetic moment = 0.00 μB per formula unit
Total DFT energy (no corrections) = -47.86 eV for the cell shown
Uncorrected formation energy = -0.764 eV per atom



no.,D(E_F) (states/eV per atom)
1,0.07
2,0.42